Compound: AlVSe2
Source: Alexandria
Functional: PBE
Structure: optimized geometry

It has space group R-3m (No. 166, hexagonal axes), with a = 3.6578 Å, b = 3.6578 Å, c = 23.5623 Å, α = 90.00°, β = 90.00° and γ = 120.00°. The inequivalent atoms are Al at (0.0000, 0.0000, 0.0000), V at (0.0000, 0.0000, 0.5000) and Se at (0.0000, 0.0000, 0.3939).

The calculation puts the total energy at -5.13 eV per atom. The calculation puts the uncorrected formation energy at -169 meV/atom. The value obtained for the total magnetic moment is 10.9 Bohr magnetons per cell.


Compound: AlV2Se
Source: Alexandria
Functional: PBE
Structure: optimized geometry

It has space group I-42d (No. 122), with a = 6.9740 Å, b = 6.9740 Å, c = 5.3724 Å, α = 90.00°, β = 90.00° and γ = 90.00°. The inequivalent atoms are Al at (0.0000, 0.0000, 0.0000), V at (0.2110, 0.2500, 0.6250) and Se at (0.0000, 0.0000, 0.5000).

The calculation puts the total energy at -6.10 eV per atom. The calculation puts the uncorrected formation energy at 261 meV/atom. Its energy relative to the lowest polymorph listed for this composition is 113 meV per atom. The value obtained for the total magnetic moment is 0.0 Bohr magnetons per cell.